1.
First-principles (PBE) data for crystalline La2ZrTl at its relaxed geometry, as listed in the Alexandria database.

Results
The value obtained for the total DFT energy (no corrections) is -20.54 eV per cell. The calculation puts the density of states at the Fermi level at 7.593 states/eV/f.u. For the formation enthalpy at 0 K, the calculation gives 58 meV per atom.

Cell lengths 5.4324, 5.4324, 5.4324 Å; angles 60.00, 60.00, 60.00 degrees
Sites, in units of the cell vectors:
1 La 0.0000 0.0000 0.0000
2 La 0.2500 0.2500 0.2500
3 Zr 0.7500 0.7500 0.7500
4 Tl 0.5000 0.5000 0.5000

=====

2.
First-principles (PBE) data for crystalline La2ZrTl at its relaxed geometry, as listed in the Alexandria database.

Results
The value obtained for the total DFT energy (no corrections) is -21.00 eV per cell. The calculation puts the density of states at the Fermi level at 5.735 states/eV/f.u. For the formation enthalpy at 0 K, the calculation gives -57 meV per atom.

Cell lengths 6.0018, 6.0018, 6.0018 Å; angles 132.56, 132.56, 69.34 degrees
Sites, in units of the cell vectors:
1 La 0.0000 0.0000 0.0000
2 La 0.7500 0.2500 0.5000
3 Zr 0.5000 0.5000 0.0000
4 Tl 0.2500 0.7500 0.5000

=====

3.
First-principles (PBE) data for crystalline La2ZrTl at its relaxed geometry, as listed in the Alexandria database.

Results
The value obtained for the total DFT energy (no corrections) is -20.69 eV per cell. The calculation puts the density of states at the Fermi level at 3.502 states/eV/f.u. For the formation enthalpy at 0 K, the calculation gives 20 meV per atom.

Cell lengths 11.1639, 11.1639, 11.1639 Å; angles 18.20, 18.20, 18.20 degrees
Sites, in units of the cell vectors:
1 La 0.0000 0.0000 0.0000
2 La 0.2402 0.2402 0.2402
3 Zr 0.4936 0.4936 0.4936
4 Tl 0.7521 0.7521 0.7521

=====

4.
First-principles (PBE) data for crystalline La2Tm at its relaxed geometry, as listed in the Alexandria database.

Results
The value obtained for the total DFT energy (no corrections) is -14.22 eV per cell. The calculation puts the density of states at the Fermi level at 5.754 states/eV/f.u. For the formation enthalpy at 0 K, the calculation gives 37 meV per atom.

Cell lengths 8.0567, 8.0567, 8.0567 Å; angles 153.46, 153.46, 37.89 degrees
Sites, in units of the cell vectors:
1 La 0.1638 0.1638 0.0000
2 La 0.8362 0.8362 0.0000
3 Tm 0.5000 0.5000 0.0000